# 1
MgNi2Mo (PBE-GGA, optimized geometry); formation energy from the elements = 0.00 eV per atom; spin magnetization = 0.0 μB per cell; raw total energy = -6.00 eV per atom
1.0
-2.137 0.390 2.686
-1.617 -1.942 -1.004
1.463 -6.092 2.050
Mg Mo Ni
1 1 2
direct
0.500 0.250 0.250
0.500 0.750 0.750
0.000 0.029 0.970
0.000 0.471 0.530

***

# 2
MgNiMo2 (PBE-GGA, optimized geometry); formation energy from the elements = 0.64 eV per atom; spin magnetization = 0.0 μB per cell; raw total energy = -6.62 eV per atom
1.0
7.293 0.000 0.000
0.000 7.293 0.000
3.647 3.647 2.462
Ni Mo Mg
2 4 2
direct
0.000 0.000 0.000
0.750 0.250 0.500
0.670 0.125 0.250
0.080 0.625 0.250
0.375 0.330 0.750
0.875 0.920 0.750
0.500 0.500 0.000
0.250 0.750 0.500

***

# 3
MgNi2Mo (PBE-GGA, optimized geometry); formation energy from the elements = 0.03 eV per atom; spin magnetization = 0.0 μB per cell; raw total energy = -5.97 eV per atom
1.0
4.828 0.000 0.009
4.098 2.552 0.009
1.069 0.306 4.425
Mg Mo Ni
1 1 2
direct
0.515 0.515 0.443
0.729 0.729 0.812
0.985 0.985 0.957
0.271 0.271 0.288

***

# 4
MgNiMo2 (PBE-GGA, optimized geometry); formation energy from the elements = 0.09 eV per atom; spin magnetization = 0.0 μB per cell; raw total energy = -7.17 eV per atom
1.0
2.709 0.004 0.000
-0.700 2.617 0.000
0.000 0.000 8.545
Mg Mo Ni
1 2 1
direct
0.500 0.500 0.728
0.000 0.000 0.009
0.500 0.500 0.271
0.000 0.000 0.492